No. 1
VASP calculation (PBE) on a relaxed structure of Tb2Sm12Ho.

abc: 6.7740 6.7740 24.8105
angles: 90.00 90.00 63.71
Last column: nearest neighbours and their distance in Å.
Sites, in units of the cell vectors:
Sm  0.2489  0.7489  0.0753  2 Ho 3.43-3.44, 9 Sm 3.55-3.74
Ho  0.0000  0.5000  0.9995  8 Sm 3.43-3.66, 2 Ho 3.58
Sm  0.7272  0.2272  0.4397  5 Sm 3.04-3.36
Sm  0.7489  0.7511  0.1282  8 Sm 3.37-3.64, 2 Ho 3.64-3.66
Sm  0.2489  0.2511  0.8718  8 Sm 3.37-3.64, 2 Ho 3.64-3.66
Sm  0.2511  0.7511  0.9247  2 Ho 3.43-3.44, 9 Sm 3.55-3.74
Tb  0.0000  0.5000  0.2656  2 Tb 3.58, 10 Sm 3.70-3.85
Sm  0.0000  0.0000  0.1989  3 Sm 3.14-3.37
Tb  0.5000  0.0000  0.2704  2 Tb 3.58, 10 Sm 3.65-3.95
Sm  0.7679  0.7321  0.4148  7 Sm 3.30-3.64
Sm  0.2321  0.2679  0.4148  7 Sm 3.30-3.64
Tb  0.5000  0.0000  0.7344  2 Tb 3.58, 10 Sm 3.70-3.85
Sm  0.0000  0.0000  0.6747  3 Sm 3.14-3.36
Ho  0.5000  0.0000  0.0005  8 Sm 3.43-3.66, 2 Ho 3.58
Tb  0.0000  0.5000  0.7296  2 Tb 3.58, 10 Sm 3.65-3.95
Sm  0.5000  0.5000  0.8011  3 Sm 3.14-3.37
Sm  0.7321  0.7679  0.5852  7 Sm 3.30-3.64
Sm  0.7489  0.2489  0.9247  2 Ho 3.43-3.44, 9 Sm 3.55-3.74
Sm  0.0000  0.0000  0.3253  3 Sm 3.14-3.36
Sm  0.2511  0.2489  0.1282  8 Sm 3.37-3.64, 2 Ho 3.64-3.66
Sm  0.5000  0.5000  0.3253  3 Sm 3.14-3.36
Sm  0.0000  0.0000  0.8011  3 Sm 3.14-3.37
Sm  0.5000  0.5000  0.1989  3 Sm 3.14-3.37
Sm  0.7511  0.7489  0.8718  8 Sm 3.37-3.64, 2 Ho 3.64-3.66
Sm  0.2728  0.7728  0.4397  5 Sm 3.04-3.36
Sm  0.7511  0.2511  0.0753  2 Ho 3.43-3.44, 9 Sm 3.55-3.74
Sm  0.7728  0.2728  0.5603  5 Sm 3.04-3.36
Sm  0.2272  0.7272  0.5603  5 Sm 3.04-3.36
Sm  0.2679  0.2321  0.5852  7 Sm 3.30-3.64
Sm  0.5000  0.5000  0.6747  3 Sm 3.14-3.36

Results
* raw total energy: -4.537 eV per atom
* symmetry: No. 67
* M_tot: 0.0 μB per formula unit
* crystal system: orthorhombic
* N(E_F): 22.91 states/eV/f.u.

=====

No. 2
VASP calculation (PBE) on a relaxed structure of Cu2Cl6F.

abc: 7.4378 8.0833 8.0833
angles: 102.22 89.04 89.04
Last column: nearest neighbours and their distance in Å.
Sites, in units of the cell vectors:
Cl  0.8283  0.9120  0.8735  1 Cu 2.20, 1 Cl 2.44
Cu  0.2999  0.6488  0.7068  1 F 1.95
F  0.7500  0.5786  0.4214  2 Cu 1.95
F  0.2500  0.4214  0.5786  2 Cu 1.95
Cl  0.4228  0.4293  0.2387  2 Cu 2.23-2.28
Cl  0.9532  0.5480  0.1177  1 Cl 2.01
Cl  0.9228  0.2387  0.4293  2 Cu 2.23-2.28
Cl  0.4532  0.1177  0.5480  1 Cl 2.01
Cl  0.5468  0.8823  0.4520  1 Cl 2.01
Cu  0.7001  0.3512  0.2932  1 F 1.95
Cl  0.3283  0.8735  0.9120  1 Cu 2.20, 1 Cl 2.44
Cl  0.6717  0.1265  0.0880  1 Cu 2.20, 1 Cl 2.44
Cl  0.1717  0.0880  0.1265  1 Cu 2.20, 1 Cl 2.44
Cl  0.0772  0.7613  0.5707  2 Cu 2.23-2.28
Cl  0.5772  0.5707  0.7613  2 Cu 2.23-2.28
Cu  0.7999  0.7068  0.6488  1 F 1.95
Cu  0.2001  0.2932  0.3512  1 F 1.95
Cl  0.0468  0.4520  0.8823  1 Cl 2.01

Results
* raw total energy: -2.781 eV per atom
* symmetry: No. 15
* M_tot: 0.5 μB per formula unit
* crystal system: monoclinic
* uncorrected formation energy: -41.7 kJ per mole of atoms
* N(E_F): 3.72 states/eV/f.u.

=====

No. 3
VASP calculation (PBE) on a relaxed structure of CeErTiGa.

abc: 5.1133 5.1133 5.1133
angles: 60.00 60.00 60.00
Last column: nearest neighbours and their distance in Å.
Sites, in units of the cell vectors:
Er  0.5000  0.5000  0.5000  4 Ti 3.13, 4 Ga 3.13
Ga  0.7500  0.7500  0.7500  4 Ce 3.13, 4 Er 3.13
Ce  0.0000  0.0000  0.0000  4 Ga 3.13, 4 Ti 3.13
Ti  0.2500  0.2500  0.2500  4 Ce 3.13, 4 Er 3.13

Results
* raw total energy: -5.449 eV per atom
* symmetry: No. 216
* M_tot: 3.2 μB per formula unit
* crystal system: cubic
* N(E_F): 5.75 states/eV/f.u.

=====

No. 4
VASP calculation (PBE) on a relaxed structure of MnRuAuCS.

abc: 4.4073 3.2622 5.2738
angles: 90.00 113.32 90.00
Last column: nearest neighbours and their distance in Å.
Sites, in units of the cell vectors:
C  0.0001  0.5000  0.7335  2 Mn 1.83, 1 Ru 1.93
Au  0.4078  0.0000  0.4585  2 Mn 2.70-2.92, 2 S 2.72-2.83, 4 Ru 2.78-2.83, 2 C 2.93
Ru  0.8579  0.5000  0.3372  1 C 1.93
Mn  0.0641  0.0000  0.9061  2 C 1.83
S  0.6182  0.0000  0.0170  2 Mn 2.26-2.28, 2 Ru 2.28

Results
* raw total energy: -6.737 eV per atom
* symmetry: No. 6
* M_tot: 0.0 μB per formula unit
* crystal system: monoclinic
* uncorrected formation energy: 26.8 kJ per mole of atoms
* N(E_F): 1.79 states/eV/f.u.

=====

No. 5
VASP calculation (PBE) on a relaxed structure of LuThPaAl.

abc: 5.2584 5.2584 5.2584
angles: 60.00 60.00 60.00
Last column: nearest neighbours and their distance in Å.
Sites, in units of the cell vectors:
Lu  0.5000  0.5000  0.5000  4 Al 3.22, 4 Th 3.22
Al  0.2500  0.2500  0.2500  4 Pa 3.22, 4 Lu 3.22
Th  0.7500  0.7500  0.7500  4 Lu 3.22, 4 Pa 3.22
Pa  0.0000  0.0000  0.0000  4 Th 3.22, 4 Al 3.22

Results
* raw total energy: -6.136 eV per atom
* symmetry: No. 216
* M_tot: 0.0 μB per formula unit
* crystal system: cubic
* N(E_F): 6.53 states/eV/f.u.

=====

No. 6
VASP calculation (PBE) on a relaxed structure of BaBePt.

abc: 4.7311 4.7311 4.7311
angles: 60.00 60.00 60.00
Last column: nearest neighbours and their distance in Å.
Sites, in units of the cell vectors:
Pt  0.0000  0.0000  0.0000  4 Be 2.90
Ba  0.5000  0.5000  0.5000  4 Be 2.90
Be  0.7500  0.7500  0.7500  4 Ba 2.90, 4 Pt 2.90

Results
* raw total energy: -3.686 eV per atom
* symmetry: No. 216
* M_tot: 0.0 μB per formula unit
* crystal system: cubic
* N(E_F): 2.09 states/eV/f.u.

=====

No. 7
VASP calculation (PBE) on a relaxed structure of TbNd2Sm.

abc: 5.1286 5.1489 5.1489
angles: 90.00 90.00 90.00
Last column: nearest neighbours and their distance in Å.
Sites, in units of the cell vectors:
Nd  0.0000  0.0000  0.5000  4 Tb 3.63, 4 Sm 3.63, 4 Nd 3.64
Nd  0.0000  0.5000  0.0000  4 Tb 3.63, 4 Sm 3.63, 4 Nd 3.64
Tb  0.5000  0.5000  0.5000  8 Nd 3.63, 4 Sm 3.64
Sm  0.5000  0.0000  0.0000  8 Nd 3.63, 4 Tb 3.64

Results
* raw total energy: -4.705 eV per atom
* symmetry: No. 123
* M_tot: 0.0 μB per formula unit
* crystal system: tetragonal
* N(E_F): 6.62 states/eV/f.u.

=====

No. 8
VASP calculation (PBE) on a relaxed structure of NaAsRu3.

abc: 4.4710 4.4710 4.4710
angles: 90.00 90.00 90.00
Last column: nearest neighbours and their distance in Å.
Sites, in units of the cell vectors:
As  0.5000  0.5000  0.5000  12 Ru 3.16
Ru  0.5000  0.0000  0.0000  2 Na 2.24
Ru  0.0000  0.5000  0.0000  2 Na 2.24
Na  0.0000  0.0000  0.0000  6 Ru 2.24
Ru  0.0000  0.0000  0.5000  2 Na 2.24

Results
* raw total energy: -4.465 eV per atom
* symmetry: No. 221
* M_tot: 1.9 μB per formula unit
* crystal system: cubic
* N(E_F): 7.32 states/eV/f.u.

=====

No. 9
VASP calculation (PBE) on a relaxed structure of RhW2Se.

abc: 2.7813 2.7813 8.9524
angles: 90.00 90.00 110.48
Last column: nearest neighbours and their distance in Å.
Sites, in units of the cell vectors:
Se  0.5000  0.5000  0.7500  4 Se 2.78, 4 W 2.82
Rh  0.5000  0.5000  0.2500  4 W 2.67, 4 Rh 2.78
W  0.0000  0.0000  0.0100  2 Rh 2.67, 4 W 2.78, 2 Se 2.82
W  0.0000  0.0000  0.4900  2 Rh 2.67, 4 W 2.78, 2 Se 2.82

Results
* raw total energy: -8.593 eV per atom
* symmetry: No. 65
* M_tot: 0.0 μB per formula unit
* crystal system: orthorhombic
* uncorrected formation energy: 57.1 kJ per mole of atoms
* N(E_F): 3.77 states/eV/f.u.

=====

No. 10
VASP calculation (PBE) on a relaxed structure of Dy2HoTe.

abc: 3.8317 3.8317 10.1678
angles: 79.14 79.14 60.00
Last column: nearest neighbours and their distance in Å.
Sites, in units of the cell vectors:
Dy  0.7391  0.7391  0.7827  3 Te 3.09
Te  0.0000  0.0000  0.0000  6 Dy 3.09
Dy  0.2609  0.2609  0.2173  3 Te 3.09
Ho  0.5000  0.5000  0.5000  6 Dy 3.57, 6 Ho 3.83

Results
* raw total energy: -4.745 eV per atom
* symmetry: No. 166
* M_tot: 0.0 μB per formula unit
* crystal system: trigonal
* uncorrected formation energy: -49.6 kJ per mole of atoms
* N(E_F): 3.87 states/eV/f.u.

=====

No. 11
VASP calculation (PBE) on a relaxed structure of TaAl3Zn.

abc: 4.5557 4.5557 4.5557
angles: 90.00 90.00 90.00
Last column: nearest neighbours and their distance in Å.
Sites, in units of the cell vectors:
Ta  0.5000  0.5000  0.5000  12 Al 3.22
Zn  0.0000  0.0000  0.0000  6 Al 2.28
Al  0.5000  0.0000  0.0000  2 Zn 2.28
Al  0.0000  0.5000  0.0000  2 Zn 2.28
Al  0.0000  0.0000  0.5000  2 Zn 2.28

Results
* raw total energy: -3.948 eV per atom
* symmetry: No. 221
* M_tot: 0.0 μB per formula unit
* crystal system: cubic
* N(E_F): 4.02 states/eV/f.u.

=====

No. 12
VASP calculation (PBE) on a relaxed structure of CaLa6Tb5.

abc: 6.3771 8.1883 8.1883
angles: 85.14 97.52 97.52
Last column: nearest neighbours and their distance in Å.
Sites, in units of the cell vectors:
La  0.2516  0.0817  0.4244  5 Tb 3.57-3.68, 6 La 3.63-3.80, 1 Ca 3.71
La  0.7418  0.2521  0.2521  5 Tb 3.60-3.68, 6 La 3.64-3.76, 1 Ca 3.71
Tb  0.5000  0.1714  0.8286  6 La 3.57-3.68, 4 Tb 3.64-3.80, 2 Ca 3.71
La  0.7484  0.9183  0.5756  5 Tb 3.57-3.68, 6 La 3.63-3.80, 1 Ca 3.71
Tb  0.5000  0.8286  0.1714  6 La 3.57-3.68, 4 Tb 3.64-3.80, 2 Ca 3.71
Tb  0.5000  0.5000  0.5000  6 La 3.60-3.65, 6 Tb 3.64-3.66
Tb  0.0000  0.3372  0.6628  5 Tb 3.61-3.68, 6 La 3.63-3.68, 1 Ca 3.74
Ca  0.0000  0.0000  0.0000  6 La 3.71, 6 Tb 3.71-3.74
La  0.2582  0.7479  0.7479  5 Tb 3.60-3.68, 6 La 3.64-3.76, 1 Ca 3.71
La  0.7484  0.5756  0.9183  5 Tb 3.57-3.68, 6 La 3.63-3.80, 1 Ca 3.71
La  0.2516  0.4244  0.0817  5 Tb 3.57-3.68, 6 La 3.63-3.80, 1 Ca 3.71
Tb  0.0000  0.6628  0.3372  5 Tb 3.61-3.68, 6 La 3.63-3.68, 1 Ca 3.74

Results
* raw total energy: -4.533 eV per atom
* symmetry: No. 12
* M_tot: 0.0 μB per formula unit
* crystal system: monoclinic
* N(E_F): 15.51 states/eV/f.u.

=====

| no. | volume (Å³ per atom) |
| --- | --- |
| 1 | 34.024 |
| 2 | 26.378 |
| 3 | 23.634 |
| 4 | 13.926 |
| 5 | 25.703 |
| 6 | 24.961 |
| 7 | 33.991 |
| 8 | 17.875 |
| 9 | 16.219 |
| 10 | 31.547 |
| 11 | 18.911 |
| 12 | 34.937 |